1.
VASP calculation (PBE) on Pm4HN3 after structural relaxation.

The value obtained for the density of states at the Fermi level is 0.413 states/eV/atom. The calculation puts the energy relative to the lowest polymorph listed for this composition at 0.000 eV per atom. The total magnetization comes out at 0.00 μB per cell.

The space group is Cmmm (No. 65) and the conventional cell measures 7.295, 10.124 and 3.606 Å, with angles of 90.00, 90.00 and 90.00 degrees. The inequivalent atoms are Pm at (0.000, 0.245, 0.000), Pm at (0.233, 0.000, 0.500), H at (0.000, 0.500, 0.000), N at (0.000, 0.000, 0.000) and N at (0.250, 0.250, 0.500).

=====

2.
VASP calculation (PBE) on Pm2HN after structural relaxation.

The value obtained for the density of states at the Fermi level is 0.230 states/eV/atom. The calculation puts the energy relative to the lowest polymorph listed for this composition at 0.243 eV per atom. The total magnetization comes out at 0.00 μB per cell.

The space group is Pmmn (No. 59, origin choice 2) and the conventional cell measures 3.514, 6.215 and 6.177 Å, with angles of 90.00, 90.00 and 90.00 degrees. The inequivalent atoms are Pm at (0.250, 0.005, 0.234), H at (0.250, 0.250, 0.604) and N at (0.250, 0.750, 0.934).

=====

3.
VASP calculation (PBE) on Pm4HN3 after structural relaxation.

The value obtained for the density of states at the Fermi level is 0.619 states/eV/atom. The calculation puts the energy relative to the lowest polymorph listed for this composition at 0.115 eV per atom. The total magnetization comes out at 0.61 μB per cell.

The space group is Pm-3m (No. 221) and the conventional cell measures 5.103, 5.103 and 5.103 Å, with angles of 90.00, 90.00 and 90.00 degrees. The inequivalent atoms are Pm at (0.000, 0.000, 0.000), Pm at (0.000, 0.500, 0.500), H at (0.500, 0.500, 0.500) and N at (0.000, 0.000, 0.500).

=====

4.
VASP calculation (PBE) on Pm2HN after structural relaxation.

The value obtained for the density of states at the Fermi level is 0.331 states/eV/atom. The calculation puts the energy relative to the lowest polymorph listed for this composition at 0.066 eV per atom. The total magnetization comes out at 0.00 μB per cell.

The space group is R3m (No. 160, hexagonal axes) and the conventional cell measures 3.5714, 3.5714 and 18.3587 Å, with angles of 90.00, 90.00 and 120.00 degrees. The inequivalent atoms are Pm at (0.0000, 0.0000, 0.0000), Pm at (0.0000, 0.0000, 0.1839), H at (0.0000, 0.0000, 0.4180) and N at (0.0000, 0.0000, 0.5898).

=====

5.
VASP calculation (PBE) on Pm4H2N3 after structural relaxation.

The value obtained for the density of states at the Fermi level is 0.232 states/eV/atom. The total energy comes out at -0.49217 Ry/atom. The total magnetization comes out at 0.00 μB per cell.

The space group is C2/m (No. 12) and the conventional cell measures 12.100, 3.574 and 9.253 Å, with angles of 90.00, 128.11 and 90.00 degrees. The inequivalent atoms are Pm at (0.088, 0.000, 0.390), Pm at (0.242, 0.500, 0.798), H at (0.151, 0.000, 0.882), N at (0.000, 0.500, 0.500) and N at (0.192, 0.500, 0.306).

=====

6.
VASP calculation (PBE) on Pm2HN after structural relaxation.

The value obtained for the density of states at the Fermi level is 0.405 states/eV/atom. The calculation puts the energy relative to the lowest polymorph listed for this composition at 0.000 eV per atom. The total magnetization comes out at 0.00 μB per cell.

The space group is R-3m (No. 166, hexagonal axes) and the conventional cell measures 3.6072, 3.6072 and 17.7951 Å, with angles of 90.00, 90.00 and 120.00 degrees. The inequivalent atoms are Pm at (0.0000, 0.0000, 0.2427), H at (0.0000, 0.0000, 0.0000) and N at (0.0000, 0.0000, 0.5000).

=====

7.
VASP calculation (PBE) on Pm2H2Se2N after structural relaxation.

The value obtained for the density of states at the Fermi level is 0.142 states/eV/atom. The total energy comes out at -0.38984 Ry/atom. The total magnetization comes out at 0.28 μB per cell.

The space group is Immm (No. 71) and the conventional cell measures 4.490, 5.878 and 13.534 Å, with angles of 90.00, 90.00 and 90.00 degrees. The inequivalent atoms are Pm at (0.000, 0.000, 0.165), H at (0.099, 0.500, 0.500), Se at (0.000, 0.500, 0.201) and N at (0.000, 0.000, 0.000).

=====

8.
VASP calculation (PBE) on Pm2TeHN after structural relaxation.

The total energy comes out at -0.45299 Ry/atom. The total magnetization comes out at 0.00 μB per cell.

The space group is I-4m2 (No. 119) and the conventional cell measures 3.946, 3.946 and 13.095 Å, with angles of 90.00, 90.00 and 90.00 degrees. The inequivalent atoms are Pm at (0.000, 0.000, 0.154), Te at (0.000, 0.000, 0.500), H at (0.000, 0.500, 0.250) and N at (0.000, 0.500, 0.750).

=====

Q: Among the records above, which one has the highest total magnetization?
A: number 3